MnPbNF2 (PBE with a Hubbard U, optimized geometry); energy relative to the lowest polymorph listed for this composition = 0.0 meV per atom; crystal system = tetragonal; volume = 14.18 Å³/atom
1.0
4.139 0.000 0.000
0.000 4.139 0.000
0.000 0.000 4.137
F Mn N Pb
2 1 1 1
direct
0.500 0.000 0.000 F
0.000 0.500 0.000 F
0.000 0.000 0.000 Mn
0.000 0.000 0.500 N
0.500 0.500 0.500 Pb